No. 1
Density functional theory data (PBE) for a geometry-optimized DyLuCuNi structure.

The energy relative to the elements comes out at -0.357 eV/atom.

The space group is F-43m (No. 216) and the conventional cell measures 6.7630, 6.7630 and 6.7630 Å, with angles of 90.00, 90.00 and 90.00 degrees. The distinct sites, in fractional coordinates, are Dy at (0.0000, 0.0000, 0.0000), Lu at (0.0000, 0.0000, 0.5000), Cu at (0.2500, 0.2500, 0.2500) and Ni at (0.2500, 0.2500, 0.7500).

---

No. 2
Density functional theory data (PBE) for a geometry-optimized DyLuCuOs structure.

The energy relative to the elements comes out at -0.307 eV/atom.

The space group is F-43m (No. 216) and the conventional cell measures 6.7903, 6.7903 and 6.7903 Å, with angles of 90.00, 90.00 and 90.00 degrees. The distinct sites, in fractional coordinates, are Dy at (0.0000, 0.0000, 0.0000), Lu at (0.0000, 0.0000, 0.5000), Cu at (0.2500, 0.2500, 0.2500) and Os at (0.2500, 0.2500, 0.7500).

---

No. 3
Density functional theory data (PBE) for a geometry-optimized DyLuCuRu structure.

The energy relative to the elements comes out at -0.379 eV/atom.

The space group is F-43m (No. 216) and the conventional cell measures 6.7955, 6.7955 and 6.7955 Å, with angles of 90.00, 90.00 and 90.00 degrees. The distinct sites, in fractional coordinates, are Dy at (0.0000, 0.0000, 0.0000), Lu at (0.0000, 0.0000, 0.5000), Cu at (0.2500, 0.2500, 0.2500) and Ru at (0.2500, 0.2500, 0.7500).

---

No. 4
Density functional theory data (PBE) for a geometry-optimized DyLuCuSi structure.

The calculation puts the uncorrected formation energy at -165 kJ/mol of formula units.

The space group is F-43m (No. 216) and the conventional cell measures 6.8950, 6.8950 and 6.8950 Å, with angles of 90.00, 90.00 and 90.00 degrees. The distinct sites, in fractional coordinates, are Dy at (0.0000, 0.0000, 0.0000), Lu at (0.0000, 0.0000, 0.5000), Cu at (0.2500, 0.2500, 0.2500) and Si at (0.2500, 0.2500, 0.7500).

---

No. 5
Density functional theory data (PBE) for a geometry-optimized DyLuCuTc structure.

The energy relative to the elements comes out at -0.140 eV/atom.

The space group is F-43m (No. 216) and the conventional cell measures 6.8122, 6.8122 and 6.8122 Å, with angles of 90.00, 90.00 and 90.00 degrees. The distinct sites, in fractional coordinates, are Dy at (0.0000, 0.0000, 0.0000), Lu at (0.0000, 0.0000, 0.5000), Cu at (0.2500, 0.2500, 0.7500) and Tc at (0.2500, 0.2500, 0.2500).

---

No. 6
Density functional theory data (PBE) for a geometry-optimized DyLuTlCu structure.

The energy relative to the elements comes out at -0.245 eV/atom.

The space group is F-43m (No. 216) and the conventional cell measures 7.2438, 7.2438 and 7.2438 Å, with angles of 90.00, 90.00 and 90.00 degrees. The distinct sites, in fractional coordinates, are Dy at (0.0000, 0.0000, 0.0000), Lu at (0.0000, 0.0000, 0.5000), Tl at (0.2500, 0.2500, 0.7500) and Cu at (0.2500, 0.2500, 0.2500).

---

| no. | total energy (eV/cell) |
| --- | --- |
| 1 | -81.721 |
| 2 | -102.712 |
| 3 | -96.050 |
| 4 | -81.393 |
| 5 | -96.579 |
| 6 | -66.270 |